1.
## K2BaCrO4 (GGA+U)

Data for an optimized crystal structure of K2BaCrO4.

Unit cell a=6.6859 b=6.6859 c=5.3101 alpha=117.94 beta=117.94 gamma=104.82
Fractional coordinates of all 8 atoms:
Ba 0.9722 0.9722 0.9444
K 0.3233 0.8233 0.6467
K 0.8233 0.3233 0.6467
O 0.7744 0.4843 0.2587
O 0.4843 0.7744 0.2587
O 0.4945 0.4945 0.6394
O 0.1449 0.1449 0.6394
Cr 0.4833 0.4833 0.9666

Results
Total DFT energy (no corrections) ... -5.75 eV per atom
ρ ... 3.746 g/cm³

=====

2.
## KBaCrO4 (GGA+U)

Data for an optimized crystal structure of KBaCrO4.

Unit cell a=6.2728 b=5.8700 c=7.8446 alpha=90.00 beta=99.97 gamma=90.00
Fractional coordinates of all 14 atoms:
O 0.5701 0.2500 0.8358
O 0.9288 0.0132 0.7319
O 0.3538 0.7500 0.5128
O 0.9288 0.4868 0.7319
O 0.0712 0.5132 0.2681
O 0.6462 0.2500 0.4872
O 0.0712 0.9868 0.2681
O 0.4299 0.7500 0.1642
Ba 0.2290 0.2500 0.5471
Ba 0.7710 0.7500 0.4529
K 0.2516 0.2500 0.0386
K 0.7484 0.7500 0.9614
Cr 0.2381 0.7500 0.2958
Cr 0.7619 0.2500 0.7042

Results
Total DFT energy (no corrections) ... -6.31 eV per atom
ρ ... 3.414 g/cm³

=====

3.
## KBaCrO3 (GGA+U)

Data for an optimized crystal structure of KBaCrO3.

Unit cell a=6.4002 b=6.4002 c=9.0140 alpha=61.62 beta=61.62 gamma=71.77
Fractional coordinates of all 12 atoms:
O 0.2754 0.2754 0.7205
O 0.8451 0.2312 0.1770
O 0.2312 0.8451 0.1770
O 0.7246 0.7246 0.2795
O 0.7688 0.1549 0.8230
O 0.1549 0.7688 0.8230
Ba 0.3229 0.3229 0.9676
Ba 0.6771 0.6771 0.0324
K 0.7354 0.2646 0.5000
K 0.2646 0.7354 0.5000
Cr 0.9337 0.9337 0.1806
Cr 0.0663 0.0663 0.8194

Results
Total DFT energy (no corrections) ... -6.00 eV per atom
ρ ... 3.233 g/cm³

=====

4.
## KBaCr2P3O12 (GGA+U)

Data for an optimized crystal structure of KBaCr2P3O12.

Unit cell a=9.9737 b=9.9737 c=9.9737 alpha=90.00 beta=90.00 gamma=90.00
Fractional coordinates of all 76 atoms:
Cr 0.4134 0.0866 0.9134
Cr 0.6473 0.1473 0.3527
Cr 0.3527 0.6473 0.1473
Cr 0.9134 0.4134 0.0866
Cr 0.0866 0.9134 0.4134
Cr 0.1473 0.3527 0.6473
Cr 0.8527 0.8527 0.8527
Cr 0.5866 0.5866 0.5866
O 0.9844 0.2987 0.2368
O 0.4210 0.8123 0.2393
O 0.8462 0.5036 0.9221
O 0.2607 0.5790 0.3123
O 0.4844 0.2013 0.7632
O 0.0252 0.9504 0.7994
O 0.9748 0.4504 0.7006
O 0.2632 0.0156 0.7987
O 0.0790 0.1877 0.7393
O 0.7393 0.0790 0.1877
O 0.7006 0.9748 0.4504
O 0.0156 0.7987 0.2632
O 0.4748 0.0496 0.2994
O 0.5779 0.1538 0.0036
O 0.3462 0.9964 0.0779
O 0.7632 0.4844 0.2013
O 0.2987 0.2368 0.9844
O 0.0779 0.3462 0.9964
O 0.2013 0.7632 0.4844
O 0.9221 0.8462 0.5036
O 0.2994 0.4748 0.0496
O 0.7607 0.9210 0.6877
O 0.7368 0.5156 0.7013
O 0.1877 0.7393 0.0790
O 0.8123 0.2393 0.4210
O 0.7994 0.0252 0.9504
O 0.9964 0.0779 0.3462
O 0.4504 0.7006 0.9748
O 0.5036 0.9221 0.8462
O 0.2393 0.4210 0.8123
O 0.0036 0.5779 0.1538
O 0.1538 0.0036 0.5779
O 0.9210 0.6877 0.7607
O 0.5252 0.5496 0.2006
O 0.7987 0.2632 0.0156
O 0.0496 0.2994 0.4748
O 0.7013 0.7368 0.5156
O 0.4221 0.6538 0.4964
O 0.9504 0.7994 0.0252
O 0.5156 0.7013 0.7368
O 0.6538 0.4964 0.4221
O 0.6877 0.7607 0.9210
O 0.5790 0.3123 0.2607
O 0.5496 0.2006 0.5252
O 0.2006 0.5252 0.5496
O 0.2368 0.9844 0.2987
O 0.3123 0.2607 0.5790
O 0.4964 0.4221 0.6538
P 0.7256 0.1274 0.0405
P 0.0405 0.7256 0.1274
P 0.2256 0.3726 0.9595
P 0.1274 0.0405 0.7256
P 0.2744 0.6274 0.4595
P 0.5405 0.7744 0.8726
P 0.8726 0.5405 0.7744
P 0.4595 0.2744 0.6274
P 0.6274 0.4595 0.2744
P 0.3726 0.9595 0.2256
P 0.7744 0.8726 0.5405
P 0.9595 0.2256 0.3726
Ba 0.9316 0.5684 0.4316
Ba 0.4316 0.9316 0.5684
Ba 0.5684 0.4316 0.9316
Ba 0.0684 0.0684 0.0684
K 0.3007 0.3007 0.3007
K 0.1993 0.6993 0.8007
K 0.8007 0.1993 0.6993
K 0.6993 0.8007 0.1993

Results
Total DFT energy (no corrections) ... -7.30 eV per atom
ρ ... 3.785 g/cm³

=====

The lowest ρ belongs to which entry? KBaCrO3

=====

What is the formula in the first record? K2BaCrO4